w | VASP calculation (PBE) on SrLi4Ag2 after structural relaxation.

N(E_F) in states/eV per atom: 0.336

a = 4.446 Å, b = 8.338 Å, c = 8.338 Å
α = 90.00°, β = 90.00°, γ = 90.00°
Element x y z (fractional)
Sr 0.000 0.500 0.500
Sr 0.500 0.000 0.000
Li 0.000 0.092 0.347
Li 0.000 0.908 0.653
Li 0.000 0.653 0.908
Li 0.500 0.153 0.592
Li 0.500 0.408 0.847
Li 0.500 0.847 0.408
Li 0.000 0.347 0.092
Li 0.500 0.592 0.153
Ag 0.500 0.280 0.280
Ag 0.500 0.720 0.720
Ag 0.000 0.780 0.220
Ag 0.000 0.220 0.780

***

x | VASP calculation (PBE) on SrLi4Ag2 after structural relaxation.

N(E_F) in states/eV per atom: 0.472

a = 6.182 Å, b = 6.182 Å, c = 6.182 Å
α = 106.25°, β = 106.25°, γ = 116.12°
Element x y z (fractional)
Li 0.745 0.500 0.245
Li 0.500 0.255 0.755
Li 0.255 0.500 0.755
Li 0.500 0.745 0.245
Sr 0.000 0.000 0.000
Ag 0.250 0.750 0.500
Ag 0.750 0.250 0.500

***

It comes down to w, which is 26.1 kJ/mol of atoms more stable than the next structure.

***

w | VASP calculation (PBE) on Sr2Li5Ag3 after structural relaxation.

N(E_F) in states/eV per atom: 0.303

a = 4.506 Å, b = 4.506 Å, c = 12.357 Å
α = 90.00°, β = 90.00°, γ = 90.00°
Element x y z (fractional)
Ag 0.500 0.000 0.640
Ag 0.000 0.000 0.500
Ag 0.000 0.500 0.360
Sr 0.000 0.500 0.726
Sr 0.500 0.000 0.274
Li 0.500 0.500 0.000
Li 0.000 0.000 0.000
Li 0.000 0.500 0.144
Li 0.500 0.000 0.856
Li 0.500 0.500 0.500

***

x | VASP calculation (PBE) on Sr2Li5Ag3 after structural relaxation.

N(E_F) in states/eV per atom: 0.562

a = 4.675 Å, b = 7.483 Å, c = 13.736 Å
α = 90.00°, β = 99.80°, γ = 90.00°
Element x y z (fractional)
Ag 0.950 0.422 0.900
Ag 0.628 0.460 0.255
Ag 0.050 0.922 0.100
Ag 0.231 0.318 0.462
Ag 0.372 0.960 0.745
Ag 0.769 0.818 0.538
Li 0.407 0.318 0.815
Li 0.132 0.222 0.264
Li 0.729 0.492 0.457
Li 0.695 0.119 0.390
Li 0.271 0.992 0.543
Li 0.939 0.054 0.877
Li 0.305 0.619 0.610
Li 0.868 0.722 0.736
Li 0.593 0.818 0.185
Li 0.061 0.554 0.123
Sr 0.529 0.224 0.057
Sr 0.824 0.236 0.649
Sr 0.471 0.724 0.943
Sr 0.176 0.736 0.351

***

It comes down to x, which is 3.5 kJ/mol of atoms more stable than the next structure.

***

w | VASP calculation (PBE) on Sr2Li2Ag after structural relaxation.

N(E_F) in states/eV per atom: 0.441

a = 8.665 Å, b = 8.665 Å, c = 4.978 Å
α = 90.00°, β = 90.00°, γ = 90.00°
Element x y z (fractional)
Li 0.875 0.375 0.500
Li 0.625 0.875 0.500
Li 0.375 0.125 0.500
Li 0.125 0.625 0.500
Sr 0.671 0.171 0.000
Sr 0.329 0.829 0.000
Sr 0.171 0.329 0.000
Sr 0.829 0.671 0.000
Ag 0.500 0.500 0.000
Ag 0.000 0.000 0.000

***

x | VASP calculation (PBE) on Sr2Li2Ag after structural relaxation.

N(E_F) in states/eV per atom: 0.696

a = 5.653 Å, b = 5.096 Å, c = 6.516 Å
α = 66.98°, β = 64.29°, γ = 90.00°
Element x y z (fractional)
Sr 0.689 0.189 0.621
Sr 0.311 0.811 0.379
Ag 0.000 0.000 0.000
Li 0.239 0.500 0.000
Li 0.761 0.500 0.000

***

y | VASP calculation (PBE) on Sr2Li2Ag after structural relaxation.

N(E_F) in states/eV per atom: 0.574

a = 7.740 Å, b = 7.740 Å, c = 5.145 Å
α = 90.00°, β = 90.00°, γ = 90.00°
Element x y z (fractional)
Li 0.631 0.131 0.000
Li 0.369 0.869 0.000
Li 0.869 0.631 0.000
Li 0.131 0.369 0.000
Ag 0.500 0.500 0.000
Ag 0.000 0.000 0.000
Sr 0.185 0.685 0.500
Sr 0.315 0.185 0.500
Sr 0.685 0.815 0.500
Sr 0.815 0.315 0.500

***

It comes down to x, which is 8.0 kJ/mol of atoms more stable than the next structure.

***

w | VASP calculation (PBE) on SrLi2Ag2 after structural relaxation.

N(E_F) in states/eV per atom: 0.475

a = 4.360 Å, b = 4.360 Å, c = 6.231 Å
α = 90.00°, β = 90.00°, γ = 90.00°
Element x y z (fractional)
Ag 0.500 0.500 0.767
Ag 0.500 0.500 0.233
Sr 0.000 0.000 0.000
Li 0.000 0.500 0.500
Li 0.500 0.000 0.500

***

x | VASP calculation (PBE) on SrLi2Ag2 after structural relaxation.

N(E_F) in states/eV per atom: 0.396

a = 8.057 Å, b = 8.057 Å, c = 3.525 Å
α = 90.00°, β = 90.00°, γ = 90.00°
Element x y z (fractional)
Ag 0.131 0.369 0.000
Ag 0.631 0.131 0.000
Ag 0.369 0.869 0.000
Ag 0.869 0.631 0.000
Sr 0.000 0.000 0.000
Sr 0.500 0.500 0.000
Li 0.143 0.643 0.500
Li 0.357 0.143 0.500
Li 0.857 0.357 0.500
Li 0.643 0.857 0.500

***

It comes down to w, which is 12.2 kJ/mol of atoms more stable than the next structure.

***

w | VASP calculation (PBE) on SrLi2Ag9 after structural relaxation.

N(E_F) in states/eV per atom: 0.292

a = 5.615 Å, b = 5.615 Å, c = 9.820 Å
α = 73.39°, β = 73.39°, γ = 60.00°
Element x y z (fractional)
Ag 0.588 0.083 0.742
Ag 0.917 0.412 0.258
Ag 0.333 0.333 0.001
Ag 0.412 0.917 0.258
Ag 0.588 0.588 0.742
Ag 0.412 0.412 0.258
Ag 0.667 0.667 0.999
Ag 0.083 0.588 0.742
Ag 0.500 0.500 0.500
Sr 0.000 0.000 0.000
Li 0.151 0.151 0.548
Li 0.849 0.849 0.452

***

x | VASP calculation (PBE) on SrLi2Ag9 after structural relaxation.

N(E_F) in states/eV per atom: 0.414

a = 7.387 Å, b = 8.770 Å, c = 8.770 Å
α = 79.78°, β = 65.09°, γ = 65.09°
Element x y z (fractional)
Ag 0.738 0.824 0.579
Ag 0.438 0.421 0.824
Ag 0.067 0.324 0.921
Ag 0.312 0.079 0.676
Ag 0.141 0.176 0.421
Ag 0.683 0.176 0.579
Ag 0.738 0.579 0.824
Ag 0.609 0.079 0.324
Ag 0.312 0.676 0.079
Ag 0.012 0.921 0.676
Ag 0.012 0.676 0.921
Ag 0.750 0.500 0.500
Ag 0.683 0.579 0.176
Ag 0.609 0.324 0.079
Ag 0.000 0.000 0.000
Ag 0.067 0.921 0.324
Ag 0.141 0.421 0.176
Ag 0.438 0.824 0.421
Li 0.875 0.250 0.250
Li 0.875 0.750 0.250
Li 0.375 0.750 0.750
Li 0.875 0.250 0.750
Sr 0.250 0.500 0.500
Sr 0.500 0.000 0.000

***

It comes down to x, which is 3.8 kJ/mol of atoms more stable than the next structure.

***

w | VASP calculation (PBE) on LiTaAg after structural relaxation.

N(E_F) in states/eV per atom: 0.742

a = 2.855 Å, b = 2.855 Å, c = 7.459 Å
α = 90.00°, β = 90.00°, γ = 120.00°
Element x y z (fractional)
Ta 0.667 0.333 0.671
Li 0.333 0.667 0.322
Ag 0.000 0.000 0.007

***

x | VASP calculation (PBE) on LiTaAg after structural relaxation.

N(E_F) in states/eV per atom: 0.344

a = 4.943 Å, b = 4.943 Å, c = 4.943 Å
α = 148.31°, β = 126.97°, γ = 63.11°
Element x y z (fractional)
Ta 0.664 0.664 0.000
Li 0.336 0.336 0.000
Ag 0.999 0.999 0.000

***

It comes down to w, which is 18.0 kJ/mol of atoms more stable than the next structure.